DFT (PBE) results for a relaxed Th2TcNi crystal.

Output
* D(E_F): 0.746 states/eV/atom
* mass density: 11.120 g/cm3
* formation enthalpy at 0 K: -0.12 eV/atom
* total DFT energy (no corrections): -7.8620 eV per atom
* spin magnetization: 0.00 μB/atom

Cell: 4.1356 4.1356 18.7762 Å, 90.00 90.00 120.00°
Space group R-3m (No. 166, hexagonal axes)
Symmetry-distinct sites (fractional):
Th 0.0000 0.0000 0.2488 [6 per cell]
Tc 0.0000 0.0000 0.5000 [3 per cell]
Ni 0.0000 0.0000 0.0000 [3 per cell]